Entry 1:
K3NaAu4: optimized geometry, GGA-PBE.

Unit cell a=6.1122 b=10.1699 c=10.1735 alpha=151.99 beta=111.27 gamma=80.33
Last column: nearest neighbours and their distance in Å.
Fractional positions:
Au 0.3606 0.5744 0.7672  1 Na 2.89, 2 Au 3.05
K 0.2192 0.7427 0.4576  7 Au 3.29-3.65
K 0.0188 0.0000 0.0000  6 Au 3.34-3.38
Na 0.5187 0.4999 0.9999  6 Au 2.89-2.95
Au 0.6772 0.4257 0.2328  1 Na 2.89, 2 Au 3.05
Au 0.2799 0.9523 0.3087  2 Na 2.95, 3 Au 3.05-3.27, 1 K 3.29
Au 0.7579 0.0477 0.6913  2 Na 2.95, 3 Au 3.05-3.27, 1 K 3.29
K 0.8187 0.2573 0.5424  7 Au 3.29-3.65

Formation enthalpy at 0 K: -0.265 eV/atom
Total energy: -19.840 eV for the cell shown
M_tot: 0.0000 μB per atom
D(E_F): 0.07 states/eV/atom

=====

Entry 2:
ZnCu3Ni7: optimized geometry, GGA-PBE.

Unit cell a=4.4741 b=6.2027 c=6.2027 alpha=82.79 beta=116.18 gamma=116.18
Last column: nearest neighbours and their distance in Å.
Fractional positions:
Ni 0.3241 0.0655 0.5803  4 Ni 2.37-2.62, 3 Cu 2.40-2.49, 1 Zn 2.50
Ni 0.0000 0.5000 0.5000  2 Zn 2.24, 2 Cu 2.42, 2 Ni 2.42
Zn 0.5000 0.5000 0.5000  8 Ni 2.24-2.50
Cu 0.0000 0.7947 0.2053  7 Ni 2.42-2.49
Ni 0.6759 0.4197 0.9345  4 Ni 2.37-2.62, 3 Cu 2.40-2.49, 1 Zn 2.50
Ni 0.3241 0.5803 0.0655  4 Ni 2.37-2.62, 3 Cu 2.40-2.49, 1 Zn 2.50
Cu 0.5000 0.0000 0.0000  6 Ni 2.35-2.40
Ni 0.3928 0.2188 0.2188  3 Cu 2.35-2.42, 1 Zn 2.37, 5 Ni 2.42-2.51
Ni 0.6072 0.7812 0.7812  3 Cu 2.35-2.42, 1 Zn 2.37, 5 Ni 2.42-2.51
Ni 0.6759 0.9345 0.4197  4 Ni 2.37-2.62, 3 Cu 2.40-2.49, 1 Zn 2.50
Cu 0.0000 0.2053 0.7947  7 Ni 2.42-2.49

Formation enthalpy at 0 K: 0.304 eV/atom
Total energy: -50.688 eV for the cell shown
M_tot: 0.2142 μB per atom
D(E_F): 1.37 states/eV/atom

=====

Entry 3:
Dy4Ho3Tl2: optimized geometry, GGA-PBE.

Unit cell a=5.3753 b=6.6065 c=10.1737 alpha=122.42 beta=90.00 gamma=114.01
Last column: nearest neighbours and their distance in Å.
Fractional positions:
Dy 0.0984 0.1968 0.4284  3 Tl 3.17-3.25, 1 Dy 3.44, 2 Ho 3.51
Ho 0.6456 0.2913 0.6788  1 Tl 3.23, 2 Ho 3.25-3.54, 5 Dy 3.33-3.59
Dy 0.7328 0.4657 0.0820  2 Tl 3.15-3.32, 2 Dy 3.32, 2 Ho 3.33
Tl 0.4150 0.8300 0.7460  5 Dy 3.15-3.32, 3 Ho 3.23-3.44
Ho 0.3544 0.7087 0.3212  1 Tl 3.23, 2 Ho 3.25-3.54, 5 Dy 3.33-3.59
Tl 0.5850 0.1700 0.2540  5 Dy 3.15-3.32, 3 Ho 3.23-3.44
Dy 0.9016 0.8032 0.5716  3 Tl 3.17-3.25, 1 Dy 3.44, 2 Ho 3.51
Dy 0.2672 0.5343 0.9180  2 Tl 3.15-3.32, 2 Dy 3.32, 2 Ho 3.33
Ho 0.0000 0.0000 0.0000  4 Tl 3.44, 2 Ho 3.54, 8 Dy 3.61-3.79

Formation enthalpy at 0 K: -0.156 eV/atom
Total energy: -38.276 eV for the cell shown
M_tot: 0.0000 μB per atom
D(E_F): 1.06 states/eV/atom

=====

Entry 4:
BaCrPb3: optimized geometry, GGA-PBE.

Unit cell a=5.3218 b=5.3218 c=5.3218 alpha=90.00 beta=90.00 gamma=90.00
Last column: nearest neighbours and their distance in Å.
Fractional positions:
Ba 0.5000 0.5000 0.5000  12 Pb 3.76
Cr 0.0000 0.0000 0.0000  6 Pb 2.66
Pb 0.5000 0.0000 0.0000  2 Cr 2.66
Pb 0.0000 0.5000 0.0000  2 Cr 2.66
Pb 0.0000 0.0000 0.5000  2 Cr 2.66

Formation enthalpy at 0 K: 0.104 eV/atom
Total energy: -22.150 eV for the cell shown
M_tot: 0.0000 μB per atom
D(E_F): 1.35 states/eV/atom

=====

Entry 5:
Gd2C: optimized geometry, GGA-PBE.

Unit cell a=6.5572 b=6.5572 c=6.5572 alpha=32.26 beta=32.26 gamma=32.26
Last column: nearest neighbours and their distance in Å.
Fractional positions:
C 0.5000 0.5000 0.5000  6 Gd 2.50
Gd 0.7608 0.7608 0.7608  3 C 2.50
Gd 0.2392 0.2392 0.2392  3 C 2.50

Formation enthalpy at 0 K: -0.254 eV/atom
Total energy: -38.147 eV for the cell shown
M_tot: 5.0867 μB per atom
D(E_F): 0.64 states/eV/atom

=====

Entry 6:
CuRe3Os: optimized geometry, GGA-PBE.

Unit cell a=4.3618 b=4.3618 c=4.3618 alpha=90.00 beta=90.00 gamma=90.00
Last column: nearest neighbours and their distance in Å.
Fractional positions:
Re 0.5000 0.0000 0.0000  2 Cu 2.18
Re 0.0000 0.5000 0.0000  2 Cu 2.18
Re 0.0000 0.0000 0.5000  2 Cu 2.18
Cu 0.0000 0.0000 0.0000  6 Re 2.18
Os 0.5000 0.5000 0.5000  12 Re 3.08

Distance to the lowest polymorph of the same formula: 0.000 eV/atom
Formation enthalpy at 0 K: 2.061 eV/atom
Total energy: -42.367 eV for the cell shown
M_tot: 0.0000 μB per atom
D(E_F): 0.81 states/eV/atom